# 1
This record from Alexandria via LeMat-Bulk describes a relaxed structure of PrCdPd. The functional is GGA-PBE.

energy of formation	-0.520	eV/atom

POSCAR file:
```
PrCdPd
1.0
0.000 3.424 3.424
3.424 0.000 3.424
3.424 3.424 0.000
Pr Cd Pd
1 1 1
direct
0.000 0.000 0.000 Pr
0.500 0.500 0.500 Cd
0.750 0.750 0.750 Pd
```

***

# 2
This record from Alexandria via LeMat-Bulk describes a relaxed structure of MgHg2Pb. The functional is GGA-PBE.

energy of formation	0.013	eV/atom

POSCAR file:
```
MgHg2Pb
1.0
-2.275 2.275 10.533
2.275 -2.275 10.533
2.275 2.275 -10.533
Mg Hg Pb
2 4 2
direct
0.000 0.000 0.000 Mg
0.750 0.250 0.500 Mg
0.100 0.625 0.975 Hg
0.375 0.350 0.475 Hg
0.650 0.125 0.025 Hg
0.875 0.900 0.525 Hg
0.250 0.750 0.500 Pb
0.500 0.500 0.000 Pb
```

***

# 3
This record from Alexandria via LeMat-Bulk describes a relaxed structure of HoZn2Ag8. The functional is GGA-PBE.

energy of formation	0.005	eV/atom
energy above the lowest structure with this stoichiometry	51	meV per atom

POSCAR file:
```
HoZn2Ag8
1.0
3.900 -6.192 0.000
3.900 6.192 0.000
-2.054 0.000 4.352
Ho Zn Ag
1 2 8
direct
0.000 0.000 0.000 Ho
0.312 0.688 0.500 Zn
0.688 0.312 0.500 Zn
0.081 0.323 0.619 Ag
0.234 0.766 0.000 Ag
0.323 0.081 0.619 Ag
0.410 0.410 0.186 Ag
0.590 0.590 0.814 Ag
0.677 0.919 0.381 Ag
0.766 0.234 0.000 Ag
0.919 0.677 0.381 Ag
```

***

Number 1: VASP energy -12.45 eV per cell. Number 2: VASP energy -11.71 eV per cell. Number 3: VASP energy -29.88 eV per cell.